w | Co4Os (PBE, optimized geometry); space-group type = Pm-3m, No. 221; DOS(E_F) = 10.9 states/eV/cell
1.0
4.418 0.000 0.000
0.000 4.418 0.000
0.000 0.000 4.418
Co Os
4 1
Cartesian
0.000 0.000 0.000
0.000 2.209 2.209
2.209 0.000 2.209
2.209 2.209 0.000
2.209 2.209 2.209

***

x | Co4Os (PBE, optimized geometry); space-group type = I4/m, No. 87; DOS(E_F) = 6.1 states/eV/cell
1.0
-2.817 2.817 1.780
2.817 -2.817 1.780
2.817 2.817 -1.780
Co Os
4 1
Cartesian
3.937 0.573 0.000
0.573 1.697 0.000
2.244 1.120 1.780
-1.120 2.244 1.780
0.000 0.000 1.780

***

Decreasing stability: x, w